A relaxed structure of Rb2AgWAu. Source: the Alexandria database, functional PBE-GGA.

The structure in CIF format:
```
data_Rb2AgWAu
_cell_length_a 6.5538
_cell_length_b 6.5538
_cell_length_c 5.2160
_cell_angle_alpha 90.00
_cell_angle_beta 90.00
_cell_angle_gamma 90.00
_symmetry_space_group_name_H-M 'P 4/m m m'
_symmetry_Int_Tables_number 123
_symmetry_space_group_name_Hall '-P 4 2'
loop_
_atom_site_label
_atom_site_fract_x
_atom_site_fract_y
_atom_site_fract_z
_atom_site_occupancy
Rb1 0.0000 0.5000 0.0000 1
Ag1 0.0000 0.0000 0.0000 1
W1 0.5000 0.5000 0.5000 1
Au1 0.0000 0.0000 0.5000 1
```

Spin magnetization (μB per atom): 1.00
Formation enthalpy at 0 K (eV/atom): 1.355



A relaxed structure of HoGa4RuPt2. Source: the Alexandria database, functional PBE-GGA.

The structure in CIF format:
```
data_HoGa4RuPt2
_cell_length_a 4.2668
_cell_length_b 4.2668
_cell_length_c 25.7410
_cell_angle_alpha 90.00
_cell_angle_beta 90.00
_cell_angle_gamma 120.00
_symmetry_space_group_name_H-M 'R -3 m'
_symmetry_Int_Tables_number 166
_symmetry_space_group_name_Hall '-R 3 2"'
loop_
_atom_site_label
_atom_site_fract_x
_atom_site_fract_y
_atom_site_fract_z
_atom_site_occupancy
Ho1 0.0000 0.0000 0.0000 1
Ga1 0.0000 0.0000 0.1326 1
Ga2 0.0000 0.0000 0.3972 1
Ru1 0.0000 0.0000 0.5000 1
Pt1 0.0000 0.0000 0.2395 1
```

Spin magnetization (μB per atom): 0.00
Formation enthalpy at 0 K (eV/atom): -0.632



A relaxed structure of K2CeRe2N6. Source: the Alexandria database, functional PBE-GGA.

The structure in CIF format:
```
data_K2CeRe2N6
_cell_length_a 10.8685
_cell_length_b 6.2328
_cell_length_c 7.3926
_cell_angle_alpha 90.00
_cell_angle_beta 122.19
_cell_angle_gamma 90.00
_symmetry_space_group_name_H-M 'C 1 2/m 1'
_symmetry_Int_Tables_number 12
loop_
_symmetry_equiv_pos_as_xyz
'x,y,z'
'-x,-y,-z'
'-x,y,-z'
'x,-y,z'
'x+1/2,y+1/2,z'
'-x+1/2,-y+1/2,-z'
'-x+1/2,y+1/2,-z'
'x+1/2,-y+1/2,z'
loop_
_atom_site_label
_atom_site_fract_x
_atom_site_fract_y
_atom_site_fract_z
_atom_site_occupancy
K1 0.2113 0.0000 0.1821 1
Ce1 0.0000 0.0000 0.5000 1
Re1 0.0489 0.5000 0.2105 1
N1 0.0236 0.2585 0.7494 1
N2 0.2415 0.5000 0.3364 1
```

Spin magnetization (μB per atom): 0.00
Uncorrected formation energy (eV per atom): -0.451



A relaxed structure of LiGa5Ag4. Source: the Alexandria database, functional PBE-GGA.

The structure in CIF format:
```
data_LiGa5Ag4
_cell_length_a 8.3839
_cell_length_b 9.0875
_cell_length_c 4.8962
_cell_angle_alpha 90.00
_cell_angle_beta 90.00
_cell_angle_gamma 90.00
_symmetry_space_group_name_H-M 'P m m n'
_symmetry_Int_Tables_number 59
loop_
_symmetry_equiv_pos_as_xyz
'x,y,z'
'-x,-y,-z'
'-x+1/2,-y+1/2,z'
'x+1/2,y+1/2,-z'
'x+1/2,-y,-z'
'-x+1/2,y,z'
'-x,y+1/2,-z'
'x,-y+1/2,z'
loop_
_atom_site_label
_atom_site_fract_x
_atom_site_fract_y
_atom_site_fract_z
_atom_site_occupancy
Li1 0.2500 0.2500 0.0270 1
Ga1 0.0808 0.0048 0.2348 1
Ga2 0.2500 0.7500 0.1325 1
Ag1 0.0117 0.2500 0.5132 1
Ag2 0.2500 0.5207 0.7303 1
```

Spin magnetization (μB per atom): 0.00
Formation enthalpy at 0 K (eV/atom): -0.011
E above lowest polymorph (meV per atom): 43.0



A relaxed structure of CdRu2Se. Source: the Alexandria database, functional PBE-GGA.

The structure in CIF format:
```
data_CdRu2Se
_cell_length_a 3.0556
_cell_length_b 3.0556
_cell_length_c 6.8003
_cell_angle_alpha 90.00
_cell_angle_beta 90.00
_cell_angle_gamma 90.00
_symmetry_space_group_name_H-M 'P 4/m m m'
_symmetry_Int_Tables_number 123
_symmetry_space_group_name_Hall '-P 4 2'
loop_
_atom_site_label
_atom_site_fract_x
_atom_site_fract_y
_atom_site_fract_z
_atom_site_occupancy
Cd1 0.0000 0.0000 0.0000 1
Ru1 0.5000 0.5000 0.2861 1
Se1 0.0000 0.0000 0.5000 1
```

Spin magnetization (μB per atom): 0.00
Uncorrected formation energy (eV per atom): 0.242
E above lowest polymorph (meV per atom): 63.3



A relaxed structure of Tm2NiHg. Source: the Alexandria database, functional PBE-GGA.

The structure in CIF format:
```
data_Tm2NiHg
_cell_length_a 3.8526
_cell_length_b 3.8526
_cell_length_c 22.6780
_cell_angle_alpha 90.00
_cell_angle_beta 90.00
_cell_angle_gamma 120.00
_symmetry_space_group_name_H-M 'R -3 m'
_symmetry_Int_Tables_number 166
_symmetry_space_group_name_Hall '-R 3 2"'
loop_
_atom_site_label
_atom_site_fract_x
_atom_site_fract_y
_atom_site_fract_z
_atom_site_occupancy
Tm1 0.0000 0.0000 0.2325 1
Ni1 0.0000 0.0000 0.5000 1
Hg1 0.0000 0.0000 0.0000 1
```

Spin magnetization (μB per atom): 0.00
Formation enthalpy at 0 K (eV/atom): -0.357
E above lowest polymorph (meV per atom): 118.2



A relaxed structure of LaSc2Ni. Source: the Alexandria database, functional PBE-GGA.

The structure in CIF format:
```
data_LaSc2Ni
_cell_length_a 3.6819
_cell_length_b 4.8999
_cell_length_c 5.0404
_cell_angle_alpha 90.00
_cell_angle_beta 90.00
_cell_angle_gamma 90.00
_symmetry_space_group_name_H-M 'P m m m'
_symmetry_Int_Tables_number 47
loop_
_symmetry_equiv_pos_as_xyz
'x,y,z'
'-x,-y,-z'
'-x,-y,z'
'x,y,-z'
'x,-y,-z'
'-x,y,z'
'-x,y,-z'
'x,-y,z'
loop_
_atom_site_label
_atom_site_fract_x
_atom_site_fract_y
_atom_site_fract_z
_atom_site_occupancy
La1 0.0000 0.0000 0.0000 1
Sc1 0.0000 0.5000 0.5000 1
Sc2 0.5000 0.0000 0.5000 1
Ni1 0.5000 0.5000 0.0000 1
```

Spin magnetization (μB per atom): 0.00
Formation enthalpy at 0 K (eV/atom): 0.059
E above lowest polymorph (meV per atom): 260.7



A relaxed structure of Al2TcNi. Source: the Alexandria database, functional PBE-GGA.

The structure in CIF format:
```
data_Al2TcNi
_cell_length_a 2.6774
_cell_length_b 4.0697
_cell_length_c 5.0621
_cell_angle_alpha 93.26
_cell_angle_beta 95.66
_cell_angle_gamma 96.59
_symmetry_space_group_name_H-M 'P -1'
_symmetry_Int_Tables_number 2
loop_
_symmetry_equiv_pos_as_xyz
'x,y,z'
'-x,-y,-z'
loop_
_atom_site_label
_atom_site_fract_x
_atom_site_fract_y
_atom_site_fract_z
_atom_site_occupancy
Al1 0.1902 0.0028 0.2559 1
Tc1 0.5000 0.5000 0.0000 1
Ni1 0.0000 0.5000 0.5000 1
```

Spin magnetization (μB per atom): 0.00
Formation enthalpy at 0 K (eV/atom): -0.290



A relaxed structure of TaCoTe4. Source: the Alexandria database, functional PBE-GGA.

The structure in CIF format:
```
data_TaCoTe4
_cell_length_a 16.5602
_cell_length_b 5.3098
_cell_length_c 8.6275
_cell_angle_alpha 90.00
_cell_angle_beta 104.03
_cell_angle_gamma 90.00
_symmetry_space_group_name_H-M 'C 1 2/m 1'
_symmetry_Int_Tables_number 12
loop_
_symmetry_equiv_pos_as_xyz
'x,y,z'
'-x,-y,-z'
'-x,y,-z'
'x,-y,z'
'x+1/2,y+1/2,z'
'-x+1/2,-y+1/2,-z'
'-x+1/2,y+1/2,-z'
'x+1/2,-y+1/2,z'
loop_
_atom_site_label
_atom_site_fract_x
_atom_site_fract_y
_atom_site_fract_z
_atom_site_occupancy
Ta1 0.2027 0.0000 0.2757 1
Co1 0.0961 0.0000 0.6787 1
Te1 0.0619 0.0000 0.3787 1
Te2 0.1201 0.0000 0.9837 1
Te3 0.1277 0.5000 0.7119 1
Te4 0.2468 0.0000 0.6445 1
```

Spin magnetization (μB per atom): 0.00
Uncorrected formation energy (eV per atom): 0.010
E above lowest polymorph (meV per atom): 0.0



A relaxed structure of ErCu2Si. Source: the Alexandria database, functional PBE-GGA.

The structure in CIF format:
```
data_ErCu2Si
_cell_length_a 3.3641
_cell_length_b 4.1898
_cell_length_c 4.9762
_cell_angle_alpha 90.00
_cell_angle_beta 90.00
_cell_angle_gamma 90.00
_symmetry_space_group_name_H-M 'P m m m'
_symmetry_Int_Tables_number 47
loop_
_symmetry_equiv_pos_as_xyz
'x,y,z'
'-x,-y,-z'
'-x,-y,z'
'x,y,-z'
'x,-y,-z'
'-x,y,z'
'-x,y,-z'
'x,-y,z'
loop_
_atom_site_label
_atom_site_fract_x
_atom_site_fract_y
_atom_site_fract_z
_atom_site_occupancy
Er1 0.0000 0.0000 0.0000 1
Cu1 0.5000 0.5000 0.2509 1
Si1 0.5000 0.0000 0.5000 1
```

Spin magnetization (μB per atom): 0.00
Uncorrected formation energy (eV per atom): -0.261



A relaxed structure of PuNp2P3. Source: the Alexandria database, functional PBE-GGA.

The structure in CIF format:
```
data_PuNp2P3
_cell_length_a 3.9543
_cell_length_b 5.5971
_cell_length_c 11.9166
_cell_angle_alpha 90.00
_cell_angle_beta 90.00
_cell_angle_gamma 90.00
_symmetry_space_group_name_H-M 'I m m m'
_symmetry_Int_Tables_number 71
_symmetry_space_group_name_Hall '-I 2 2'
loop_
_atom_site_label
_atom_site_fract_x
_atom_site_fract_y
_atom_site_fract_z
_atom_site_occupancy
Pu1 0.0000 0.0000 0.0000 1
Np1 0.0000 0.0000 0.3341 1
P1 0.0000 0.5000 0.0000 1
P2 0.0000 0.5000 0.3309 1
```

Spin magnetization (μB per atom): 0.35
Formation enthalpy at 0 K (eV/atom): -0.930